An optimized crystal structure of AlTeIr2. Source: the Alexandria database, functional PBE.

Lattice parameters (Å, degrees): 2.945 2.945 9.044 90.00 90.00 119.06
Fractional positions:
Al  0.000  0.000  0.000
Te  0.000  0.000  0.500
Ir  0.500  0.500  0.217
Ir  0.500  0.500  0.783

## Properties
The calculation puts the spin magnetization at 0.00 μB per cell. For the formation energy without anion corrections, the calculation gives 0.14 eV per atom. The value obtained for the density of states at the Fermi level is 2.4 states/eV/f.u. The volume comes out at 17.14 A^3/atom.


An optimized crystal structure of AlTeIr2. Source: the Alexandria database, functional PBE.

Lattice parameters (Å, degrees): 4.271 4.271 3.633 90.00 90.00 90.00
Fractional positions:
Al  0.000  0.000  0.000
Te  0.500  0.500  0.000
Ir  0.000  0.500  0.500
Ir  0.500  0.000  0.500

## Properties
The calculation puts the spin magnetization at 0.00 μB per cell. For the formation energy without anion corrections, the calculation gives 0.04 eV per atom. The value obtained for the density of states at the Fermi level is 2.3 states/eV/f.u. The volume comes out at 16.56 A^3/atom.


An optimized crystal structure of AlTeIr4. Source: the Alexandria database, functional PBE.

Lattice parameters (Å, degrees): 5.267 5.267 5.267 60.00 60.00 60.00
Fractional positions:
Al  0.000  0.000  0.000
Te  0.250  0.250  0.250
Ir  0.124  0.625  0.625
Ir  0.625  0.124  0.625
Ir  0.625  0.625  0.124
Ir  0.625  0.625  0.625

## Properties
The calculation puts the spin magnetization at 0.00 μB per cell. For the formation energy without anion corrections, the calculation gives 0.44 eV per atom. The value obtained for the density of states at the Fermi level is 9.7 states/eV/f.u. The volume comes out at 17.22 A^3/atom.


An optimized crystal structure of AlTeIr2. Source: the Alexandria database, functional PBE.

Lattice parameters (Å, degrees): 4.591 4.591 4.591 60.00 60.00 60.00
Fractional positions:
Al  0.000  0.000  0.000
Te  0.750  0.750  0.750
Ir  0.250  0.250  0.250
Ir  0.500  0.500  0.500

## Properties
The calculation puts the spin magnetization at 0.00 μB per cell. For the formation energy without anion corrections, the calculation gives 0.44 eV per atom. The value obtained for the density of states at the Fermi level is 3.7 states/eV/f.u. The volume comes out at 17.11 A^3/atom.